Computed, not measured: a relaxed structure of Pm6MgCd5 at the PBE-GGA level of DFT.

Computed properties:
The formation energy from the elements is -0.284 eV/atom. As for the symmetry: No. 71.

a b c (Å): 5.4123 7.6853 9.3937
angles (deg): 114.15 106.74 90.00
Closest atoms and distances in Å follow each position.
Sites, in units of the cell vectors:
Pm 0.1679 0.4190 0.3357  7 Cd 3.31-3.38, 1 Mg 3.34
Pm 0.5000 0.7468 0.0000  6 Cd 3.26-3.30, 2 Mg 3.33
Pm 0.8321 0.5810 0.6643  7 Cd 3.31-3.38, 1 Mg 3.34
Cd 0.6658 0.6658 0.3317  8 Pm 3.30-3.32
Pm 0.1679 0.9167 0.3357  7 Cd 3.31-3.38, 1 Mg 3.34
Cd 0.3392 0.8392 0.6783  8 Pm 3.26-3.38
Mg 0.0000 0.0000 0.0000  8 Pm 3.33-3.34
Cd 0.3342 0.3342 0.6683  8 Pm 3.30-3.32
Pm 0.5000 0.2532 0.0000  6 Cd 3.26-3.30, 2 Mg 3.33
Cd 0.0000 0.5000 0.0000  8 Pm 3.30-3.33
Pm 0.8321 0.0833 0.6643  7 Cd 3.31-3.38, 1 Mg 3.34
Cd 0.6608 0.1608 0.3217  8 Pm 3.26-3.38



Computed, not measured: a relaxed structure of Dy3MgPb3 at the PBE-GGA level of DFT.

Computed properties:
The formation energy from the elements is -0.221 eV/atom. As for the symmetry: No. 176.

a b c (Å): 6.2216 9.3186 9.3186
angles (deg): 120.00 90.00 90.00
Closest atoms and distances in Å follow each position.
Sites, in units of the cell vectors:
Pb 0.2500 0.6873 0.6554  1 Mg 2.91, 5 Dy 3.05-3.19
Dy 0.2500 0.6446 0.9597  5 Pb 3.05-3.19, 1 Mg 3.38
Dy 0.2500 0.0403 0.6849  5 Pb 3.05-3.19, 1 Mg 3.38
Mg 0.2500 0.6667 0.3333  3 Pb 2.91
Pb 0.7500 0.6554 0.9680  1 Mg 2.91, 5 Dy 3.05-3.19
Pb 0.2500 0.3446 0.0320  1 Mg 2.91, 5 Dy 3.05-3.19
Pb 0.2500 0.9680 0.3127  1 Mg 2.91, 5 Dy 3.05-3.19
Dy 0.7500 0.3554 0.0403  5 Pb 3.05-3.19, 1 Mg 3.38
Dy 0.7500 0.9597 0.3151  5 Pb 3.05-3.19, 1 Mg 3.38
Dy 0.2500 0.3151 0.3554  5 Pb 3.05-3.19, 1 Mg 3.38
Pb 0.7500 0.0320 0.6873  1 Mg 2.91, 5 Dy 3.05-3.19
Pb 0.7500 0.3127 0.3446  1 Mg 2.91, 5 Dy 3.05-3.19
Mg 0.7500 0.3333 0.6667  3 Pb 2.91
Dy 0.7500 0.6849 0.6446  5 Pb 3.05-3.19, 1 Mg 3.38



Computed, not measured: a relaxed structure of FeCu2Te at the PBE-GGA level of DFT.

Computed properties:
As for the symmetry: No. 12. Its formation energy (no corrections) is 0.42 eV/atom.

a b c (Å): 5.4311 5.4311 3.1386
angles (deg): 72.73 72.73 121.30
Closest atoms and distances in Å follow each position.
Sites, in units of the cell vectors:
Cu 0.5000 0.5000 0.0000  4 Cu 2.61-2.66, 2 Te 2.70, 2 Fe 2.70
Te 0.0000 0.5000 0.5000  4 Fe 2.61-2.66, 4 Cu 2.70
Cu 0.0000 0.0000 0.0000  4 Cu 2.61-2.66, 2 Fe 2.70, 2 Te 2.70
Fe 0.5000 0.0000 0.5000  4 Te 2.61-2.66, 4 Cu 2.70



One value per record, in order, for M_tot: 0.6; 0.0; 2.2 Bohr magnetons per cell.
One value per record, in order, for calculated total energy: -3.17; -4.01; -4.53 eV/atom.